Record 1
The following is a DFT calculation (PBE) of a relaxed structure of Dy5Sb4Te.

magnetic moment: 0.00 μB/atom
formation energy from raw total energies: -1.196 eV per atom
energy relative to the lowest polymorph listed for this composition: 7 meV per atom

Lattice parameters (Å, degrees): 4.381 6.189 11.594 105.48 100.89 90.00
Element x y z (fractional)
1 Dy 0.199 0.699 0.399
2 Dy 0.801 0.301 0.601
3 Dy 0.396 0.896 0.791
4 Dy 0.604 0.104 0.209
5 Dy 0.000 0.500 0.000
6 Sb 0.401 0.401 0.802
7 Sb 0.599 0.599 0.198
8 Sb 0.201 0.201 0.401
9 Sb 0.799 0.799 0.599
10 Te 0.000 0.000 0.000

Record 2
The following is a DFT calculation (PBE) of a relaxed structure of TmPaTc.

magnetic moment: 0.00 μB/atom
DFT formation energy: 0.037 eV per atom
energy relative to the lowest polymorph listed for this composition: 208 meV per atom

Lattice parameters (Å, degrees): 3.277 4.760 4.760 120.00 90.00 90.00
Element x y z (fractional)
1 Tc 0.042 0.000 0.000
2 Pa 0.274 0.667 0.333
3 Tm 0.684 0.333 0.667

Record 3
The following is a DFT calculation (PBE) of a relaxed structure of Cu2TcBr.

magnetic moment: 0.53 μB/atom
formation energy from raw total energies: 0.828 eV per atom
energy relative to the lowest polymorph listed for this composition: 315 meV per atom

Lattice parameters (Å, degrees): 4.915 4.915 4.915 133.65 133.65 67.64
Last column: magnetic moment on the atom in μB.
Element x y z (fractional)
1 Cu 0.000 0.000 0.000  0.07
2 Cu 0.250 0.750 0.500  0.08
3 Tc 0.500 0.500 0.000  1.82
4 Br 0.750 0.250 0.500  0.05